(1)
Computed, not measured: a relaxed La2Pm3Sm5 crystal at the PBE level of DFT.

- Final energy: -175.082 eV for the cell shown
- Density: 6.84 g/cm³
- Distance to the lowest polymorph of the same formula: 2.22 eV/f.u.
- Crystal system: orthorhombic

```
data_La2Pm3Sm5
_chemical_formula_sum 'La8 Pm12 Sm20'
_cell_length_a 9.9041
_cell_length_b 17.3248
_cell_length_c 8.2918
_cell_angle_alpha 90.00
_cell_angle_beta 90.00
_cell_angle_gamma 90.00
_symmetry_space_group_name_H-M 'I b a m'
_symmetry_Int_Tables_number 72
_symmetry_space_group_name_Hall '-I 2 2c'
loop_
_atom_site_label
_atom_site_type_symbol
_atom_site_fract_x
_atom_site_fract_y
_atom_site_fract_z
La1 La 0.1101 0.1193 0.0000
Pm1 Pm 0.0000 0.0000 0.2500
Pm2 Pm 0.2464 0.3738 0.0000
Sm1 Sm 0.0000 0.2409 0.2500
Sm2 Sm 0.0000 0.5000 0.2500
Sm3 Sm 0.0995 0.3679 0.5000
```


(2)
Computed, not measured: a relaxed Ba2ScPb2 crystal at the PBE level of DFT.

- Final energy: -38.996 eV for the cell shown
- Density: 6.49 g/cm³
- Crystal system: tetragonal

```
data_Ba2ScPb2
_chemical_formula_sum 'Ba4 Sc2 Pb4'
_cell_length_a 8.2527
_cell_length_b 8.2527
_cell_length_c 5.5111
_cell_angle_alpha 90.00
_cell_angle_beta 90.00
_cell_angle_gamma 90.00
_symmetry_space_group_name_H-M 'P 4/m b m'
_symmetry_Int_Tables_number 127
_symmetry_space_group_name_Hall '-P 4 2ab'
loop_
_atom_site_label
_atom_site_type_symbol
_atom_site_fract_x
_atom_site_fract_y
_atom_site_fract_z
Ba1 Ba 0.1659 0.3341 0.0000
Sc1 Sc 0.0000 0.0000 0.5000
Pb1 Pb 0.1387 0.6387 0.5000
```


(3)
Computed, not measured: a relaxed La2ReW crystal at the PBE level of DFT.

- Final energy: -63.867 eV for the cell shown
- Density: 12.64 g/cm³
- Distance to the lowest polymorph of the same formula: 2.53 eV/f.u.
- Crystal system: monoclinic

```
data_La2ReW
_chemical_formula_sum 'La4 Re2 W2'
_cell_length_a 6.0178
_cell_length_b 10.2427
_cell_length_c 3.0310
_cell_angle_alpha 90.00
_cell_angle_beta 114.37
_cell_angle_gamma 90.00
_symmetry_space_group_name_H-M 'C 1 2/m 1'
_symmetry_Int_Tables_number 12
loop_
_symmetry_equiv_pos_as_xyz
'x,y,z'
'-x,-y,-z'
'-x,y,-z'
'x,-y,z'
'x+1/2,y+1/2,z'
'-x+1/2,-y+1/2,-z'
'-x+1/2,y+1/2,-z'
'x+1/2,-y+1/2,z'
loop_
_atom_site_label
_atom_site_type_symbol
_atom_site_fract_x
_atom_site_fract_y
_atom_site_fract_z
La1 La 0.2500 0.2500 0.0000
Re1 Re 0.0000 0.0000 0.5000
W1 W 0.0000 0.5000 0.5000
```


(4)
Computed, not measured: a relaxed Tb2LuTl crystal at the PBE level of DFT.

- Final energy: -65.335 eV for the cell shown
- Density: 10.12 g/cm³
- Distance to the lowest polymorph of the same formula: 0.51 eV/f.u.
- Crystal system: cubic

```
data_Tb2LuTl
_chemical_formula_sum 'Tb8 Lu4 Tl4'
_cell_length_a 7.7061
_cell_length_b 7.7061
_cell_length_c 7.7061
_cell_angle_alpha 90.00
_cell_angle_beta 90.00
_cell_angle_gamma 90.00
_symmetry_space_group_name_H-M 'F m -3 m'
_symmetry_Int_Tables_number 225
_symmetry_space_group_name_Hall '-F 4 2 3'
loop_
_atom_site_label
_atom_site_type_symbol
_atom_site_fract_x
_atom_site_fract_y
_atom_site_fract_z
Tb1 Tb 0.2500 0.2500 0.2500
Lu1 Lu 0.0000 0.0000 0.0000
Tl1 Tl 0.0000 0.0000 0.5000
```


(5)
Computed, not measured: a relaxed Ta2CrRu2 crystal at the PBE level of DFT.

- Final energy: -98.137 eV for the cell shown
- Density: 12.13 g/cm³
- Crystal system: tetragonal

```
data_Ta2CrRu2
_chemical_formula_sum 'Ta4 Cr2 Ru4'
_cell_length_a 3.4087
_cell_length_b 3.4087
_cell_length_c 14.5105
_cell_angle_alpha 90.00
_cell_angle_beta 90.00
_cell_angle_gamma 90.00
_symmetry_space_group_name_H-M 'I 4/m m m'
_symmetry_Int_Tables_number 139
_symmetry_space_group_name_Hall '-I 4 2'
loop_
_atom_site_label
_atom_site_type_symbol
_atom_site_fract_x
_atom_site_fract_y
_atom_site_fract_z
Ta1 Ta 0.0000 0.0000 0.0969
Cr1 Cr 0.0000 0.0000 0.5000
Ru1 Ru 0.0000 0.5000 0.2500
```


(6)
Computed, not measured: a relaxed BaNb2S6 crystal at the PBE level of DFT.

- Final energy: -112.565 eV for the cell shown
- Density: 3.44 g/cm³
- Crystal system: monoclinic

```
data_BaNb2S6
_chemical_formula_sum 'Ba2 Nb4 S12'
_cell_length_a 11.9007
_cell_length_b 4.7351
_cell_length_c 9.4692
_cell_angle_alpha 90.00
_cell_angle_beta 111.05
_cell_angle_gamma 90.00
_symmetry_space_group_name_H-M 'C 1 2/m 1'
_symmetry_Int_Tables_number 12
loop_
_symmetry_equiv_pos_as_xyz
'x,y,z'
'-x,-y,-z'
'-x,y,-z'
'x,-y,z'
'x+1/2,y+1/2,z'
'-x+1/2,-y+1/2,-z'
'-x+1/2,y+1/2,-z'
'x+1/2,-y+1/2,z'
loop_
_atom_site_label
_atom_site_type_symbol
_atom_site_fract_x
_atom_site_fract_y
_atom_site_fract_z
Ba1 Ba 0.0000 0.0000 0.0000
Nb1 Nb 0.1756 0.0000 0.6213
S1 S 0.9999 0.0000 0.3315
S2 S 0.1868 0.5000 0.1376
S3 S 0.1913 0.5000 0.5485
```


(7)
Computed, not measured: a relaxed BaTeP2 crystal at the PBE level of DFT.

- Final energy: -16.157 eV for the cell shown
- Density: 5.30 g/cm³
- Crystal system: tetragonal

```
data_BaTeP2
_chemical_formula_sum 'Ba1 Te1 P2'
_cell_length_a 4.9277
_cell_length_b 4.9277
_cell_length_c 4.2190
_cell_angle_alpha 90.00
_cell_angle_beta 90.00
_cell_angle_gamma 90.00
_symmetry_space_group_name_H-M 'P 4/m m m'
_symmetry_Int_Tables_number 123
_symmetry_space_group_name_Hall '-P 4 2'
loop_
_atom_site_label
_atom_site_type_symbol
_atom_site_fract_x
_atom_site_fract_y
_atom_site_fract_z
Ba1 Ba 0.0000 0.0000 0.0000
Te1 Te 0.5000 0.5000 0.0000
P1 P 0.0000 0.5000 0.5000
```


(8)
Computed, not measured: a relaxed LaNbHgPb2 crystal at the PBE level of DFT.

- Final energy: -16.898 eV for the cell shown
- Density: 7.19 g/cm³
- Crystal system: tetragonal

```
data_LaNbHgPb2
_chemical_formula_sum 'La1 Nb1 Hg1 Pb2'
_cell_length_a 6.1899
_cell_length_b 6.1899
_cell_length_c 5.1019
_cell_angle_alpha 90.00
_cell_angle_beta 90.00
_cell_angle_gamma 90.00
_symmetry_space_group_name_H-M 'P 4/m m m'
_symmetry_Int_Tables_number 123
_symmetry_space_group_name_Hall '-P 4 2'
loop_
_atom_site_label
_atom_site_type_symbol
_atom_site_fract_x
_atom_site_fract_y
_atom_site_fract_z
La1 La 0.0000 0.0000 0.0000
Nb1 Nb 0.0000 0.0000 0.5000
Hg1 Hg 0.5000 0.5000 0.5000
Pb1 Pb 0.0000 0.5000 0.0000
```


(9)
Computed, not measured: a relaxed ThGaSn crystal at the PBE level of DFT.

- Final energy: -62.811 eV for the cell shown
- Density: 9.03 g/cm³
- Crystal system: orthorhombic

```
data_ThGaSn
_chemical_formula_sum 'Th4 Ga4 Sn4'
_cell_length_a 4.3519
_cell_length_b 8.1821
_cell_length_c 8.6861
_cell_angle_alpha 90.00
_cell_angle_beta 90.00
_cell_angle_gamma 90.00
_symmetry_space_group_name_H-M 'I m m m'
_symmetry_Int_Tables_number 71
_symmetry_space_group_name_Hall '-I 2 2'
loop_
_atom_site_label
_atom_site_type_symbol
_atom_site_fract_x
_atom_site_fract_y
_atom_site_fract_z
Th1 Th 0.0000 0.2495 0.0000
Ga1 Ga 0.0000 0.0000 0.3562
Sn1 Sn 0.0000 0.5000 0.3225
```


(10)
Computed, not measured: a relaxed Ni4W crystal at the PBE level of DFT.

- Final energy: -144.215 eV for the cell shown
- Density: 11.75 g/cm³
- Distance to the lowest polymorph of the same formula: 0.55 eV/f.u.
- Crystal system: orthorhombic

```
data_Ni4W
_chemical_formula_sum 'Ni16 W4'
_cell_length_a 3.8687
_cell_length_b 5.0030
_cell_length_c 12.2276
_cell_angle_alpha 90.00
_cell_angle_beta 90.00
_cell_angle_gamma 90.00
_symmetry_space_group_name_H-M 'I m m a'
_symmetry_Int_Tables_number 74
_symmetry_space_group_name_Hall '-I 2b 2'
loop_
_atom_site_label
_atom_site_type_symbol
_atom_site_fract_x
_atom_site_fract_y
_atom_site_fract_z
Ni1 Ni 0.0000 0.0000 0.0000
Ni2 Ni 0.0000 0.0088 0.1945
Ni3 Ni 0.0000 0.2500 0.3995
W1 W 0.0000 0.2500 0.6126
```


(11)
Computed, not measured: a relaxed Y6AlTc2 crystal at the PBE level of DFT.

- Final energy: -258.755 eV for the cell shown
- Density: 5.35 g/cm³
- Crystal system: orthorhombic

```
data_Y6AlTc2
_chemical_formula_sum 'Y24 Al4 Tc8'
_cell_length_a 9.4483
_cell_length_b 9.5124
_cell_length_c 10.4473
_cell_angle_alpha 90.00
_cell_angle_beta 90.00
_cell_angle_gamma 90.00
_symmetry_space_group_name_H-M 'I m m m'
_symmetry_Int_Tables_number 71
_symmetry_space_group_name_Hall '-I 2 2'
loop_
_atom_site_label
_atom_site_type_symbol
_atom_site_fract_x
_atom_site_fract_y
_atom_site_fract_z
Y1 Y 0.0000 0.1865 0.1678
Y2 Y 0.1850 0.2237 0.5000
Y3 Y 0.1976 0.5000 0.2528
Al1 Al 0.0000 0.5000 0.0000
Al2 Al 0.0000 0.5000 0.5000
Tc1 Tc 0.0000 0.0000 0.3872
Tc2 Tc 0.1851 0.0000 0.0000
```